The following is a SCAN calculation of a crystal of FeGe3Os relaxed with PBEsol, from Alexandria.

Values from the calculation:
Calculated total energy   -28.6477 eV per atom
DFT formation energy   0.8067 eV per atom
Size of the total moment   2.96 μB per formula unit
Crystal system   cubic
D(E_F)   3.495 states/eV/cell

Cell: 4.7282 4.7282 4.7282 Å, 90.00 90.00 90.00°
Space group Pm-3m (No. 221)
Unique sites:
Fe (0.0000, 0.0000, 0.0000) x1
Ge (0.0000, 0.5000, 0.5000) x3
Os (0.5000, 0.5000, 0.5000) x1